1.
This record from Alexandria describes ZnF2 at its PBEsol-relaxed geometry. The functional is meta-GGA SCAN.

a = 4.7166 Å, b = 4.7166 Å, c = 3.1353 Å
α = 90.00°, β = 90.00°, γ = 90.00°
Closest atoms and distances in Å follow each position.
Atoms (fractional coordinates):
1 Zn 0.0000 0.0000 0.0000  6 F 2.02-2.04
2 Zn 0.5000 0.5000 0.5000  6 F 2.02-2.04
3 F 0.1965 0.1965 0.5000  3 Zn 2.02-2.04
4 F 0.3035 0.6965 0.0000  3 Zn 2.02-2.04
5 F 0.6965 0.3035 0.0000  3 Zn 2.02-2.04
6 F 0.8035 0.8035 0.5000  3 Zn 2.02-2.04

SG: P4_2/mnm
raw formation energy: -2.501 eV/atom

2.
This record from Alexandria describes LiHgPb at its PBEsol-relaxed geometry. The functional is meta-GGA SCAN.

a = 6.1703 Å, b = 6.1703 Å, c = 6.1703 Å
α = 147.82°, β = 147.82°, γ = 46.15°
Closest atoms and distances in Å follow each position.
Atoms (fractional coordinates):
1 Li 0.0000 0.0000 0.0000  4 Hg 2.79
2 Hg 0.3777 0.3777 0.0000  4 Li 2.79
3 Pb 0.6803 0.6803 0.0000  4 Li 3.17, 5 Hg 3.30-3.43, 4 Pb 3.42

SG: I4mm
formation energy: -0.283 eV/atom

Total magnetization readings, ordered: 0.000 0.000 μB per atom
Calculated total energy readings, ordered: -56.2 -147.2 eV for the cell shown